Computed, not measured: HfCoHgSb after structural relaxation at the PBE-GGA level of DFT.

Unit cell a=6.7242 b=6.7242 c=6.7242 alpha=90.00 beta=90.00 gamma=90.00
Positions (direct):
Hf 0.0000 0.0000 0.0000
Hf 0.0000 0.5000 0.5000
Hf 0.5000 0.0000 0.5000
Hf 0.5000 0.5000 0.0000
Co 0.0000 0.0000 0.5000
Co 0.0000 0.5000 0.0000
Co 0.5000 0.0000 0.0000
Co 0.5000 0.5000 0.5000
Hg 0.2500 0.2500 0.7500
Hg 0.2500 0.7500 0.2500
Hg 0.7500 0.2500 0.2500
Hg 0.7500 0.7500 0.7500
Sb 0.2500 0.2500 0.2500
Sb 0.2500 0.7500 0.7500
Sb 0.7500 0.2500 0.7500
Sb 0.7500 0.7500 0.2500

Summary:
- energy above the most stable polymorph in this dataset (meV/atom) = 0.0
- M_tot (Bohr magnetons per cell) = 0.1
- electronic total energy (eV/atom) = -5.1738

---

Computed, not measured: HfCoHgSb after structural relaxation at the PBE-GGA level of DFT.

Unit cell a=6.7674 b=6.7674 c=6.7674 alpha=90.00 beta=90.00 gamma=90.00
Positions (direct):
Hf 0.0000 0.0000 0.0000
Hf 0.0000 0.5000 0.5000
Hf 0.5000 0.0000 0.5000
Hf 0.5000 0.5000 0.0000
Co 0.2500 0.2500 0.7500
Co 0.2500 0.7500 0.2500
Co 0.7500 0.2500 0.2500
Co 0.7500 0.7500 0.7500
Hg 0.2500 0.2500 0.2500
Hg 0.2500 0.7500 0.7500
Hg 0.7500 0.2500 0.7500
Hg 0.7500 0.7500 0.2500
Sb 0.0000 0.0000 0.5000
Sb 0.0000 0.5000 0.0000
Sb 0.5000 0.0000 0.0000
Sb 0.5000 0.5000 0.5000

Summary:
- energy above the most stable polymorph in this dataset (meV/atom) = 14.9
- M_tot (Bohr magnetons per cell) = 0.0
- electronic total energy (eV/atom) = -5.1588

---

Computed, not measured: HfCoSiHg after structural relaxation at the PBE-GGA level of DFT.

Unit cell a=6.4060 b=6.4060 c=6.4060 alpha=90.00 beta=90.00 gamma=90.00
Positions (direct):
Hf 0.0000 0.0000 0.0000
Hf 0.0000 0.5000 0.5000
Hf 0.5000 0.0000 0.5000
Hf 0.5000 0.5000 0.0000
Co 0.0000 0.0000 0.5000
Co 0.0000 0.5000 0.0000
Co 0.5000 0.0000 0.0000
Co 0.5000 0.5000 0.5000
Si 0.2500 0.2500 0.2500
Si 0.2500 0.7500 0.7500
Si 0.7500 0.2500 0.7500
Si 0.7500 0.7500 0.2500
Hg 0.2500 0.2500 0.7500
Hg 0.2500 0.7500 0.2500
Hg 0.7500 0.2500 0.2500
Hg 0.7500 0.7500 0.7500

Summary:
- energy above the most stable polymorph in this dataset (meV/atom) = 0.0
- M_tot (Bohr magnetons per cell) = 3.7
- electronic total energy (eV/atom) = -5.5842